# 1
Entry from Alexandria: CuTcSe2Br after structural relaxation (GGA-PBE).

Computed properties:
The crystal system is tetragonal. As for the calculated density: 5.36 g/cm3. As for the total energy: -4.098 eV/atom.

Lattice parameters (Å, degrees): 4.7606 4.7606 5.4631 90.00 90.00 90.00
With the nearest neighbours (Å) after each atom.
Space group P4/mmm (No. 123)
Inequivalent atoms, fractional coordinates:
Cu 0.0000 0.0000 0.0000 x1  4 Br 3.37, 8 Se 3.62
Tc 0.5000 0.5000 0.5000 x1  4 Se 2.38
Se 0.0000 0.5000 0.5000 x2  2 Tc 2.38
Br 0.5000 0.5000 0.0000 x1  2 Tc 2.73

# 2
Entry from Alexandria: CuTcSeBr2 after structural relaxation (GGA-PBE).

Computed properties:
The crystal system is tetragonal. As for the calculated density: 5.13 g/cm3. As for the total energy: -3.759 eV/atom.

Lattice parameters (Å, degrees): 5.2655 5.2655 4.6743 90.00 90.00 90.00
With the nearest neighbours (Å) after each atom.
Space group P4/mmm (No. 123)
Inequivalent atoms, fractional coordinates:
Cu 0.0000 0.0000 0.0000 x1  8 Br 3.52, 4 Se 3.72
Tc 0.5000 0.5000 0.5000 x1  2 Se 2.34
Se 0.5000 0.5000 0.0000 x1  2 Tc 2.34
Br 0.0000 0.5000 0.5000 x2  2 Tc 2.63